# 1
The following is a DFT calculation (PBE) of a geometry-optimized AcSnAsAu structure.

Geometry as extended XYZ:
```
4
Lattice="0.000 3.742 3.742 3.742 0.000 3.742 3.742 3.742 0.000" Properties=species:S:1:pos:R:3 pbc="T T T"
Ac 0.000 0.000 0.000
Sn 3.742 3.742 3.742
As 5.613 5.613 5.613
Au 1.871 1.871 1.871
```

Computed properties:
The density of states at the Fermi level comes out at 2.3 states/eV/f.u. The formation energy comes out at -0.59 eV/atom. As for the space group: F-43m.

=====

# 2
The following is a DFT calculation (PBE) of a geometry-optimized AgHgOs2O8 structure.

Geometry as extended XYZ:
```
12
Lattice="6.198 -3.013 0.000 6.198 3.013 0.000 -3.153 0.000 6.840" Properties=species:S:1:pos:R:3 pbc="T T T"
Ag 0.000 0.000 0.000
Hg 4.622 0.000 3.420
Os 1.099 0.000 5.623
Os 8.145 0.000 1.217
O 2.122 1.420 5.437
O -0.216 0.000 4.498
O 3.580 0.000 0.396
O 7.122 1.420 1.403
O 2.122 -1.420 5.437
O 5.664 0.000 6.444
O 9.460 0.000 2.342
O 7.122 -1.420 1.403
```

Computed properties:
The density of states at the Fermi level comes out at 5.0 states/eV/f.u. As for the space group: C2/m. Its uncorrected formation energy is -8.607 eV per formula unit.

=====

# 3
The following is a DFT calculation (PBE) of a geometry-optimized Ce10In6Bi structure.

Geometry as extended XYZ:
```
17
Lattice="9.662 0.000 0.000 -4.831 8.367 0.000 0.000 0.000 6.367" Properties=species:S:1:pos:R:3 pbc="T T T"
Ce -1.334 2.310 1.717
Ce -3.497 6.057 4.650
Ce 2.668 0.000 1.717
Ce 1.334 2.310 4.650
Ce 0.000 5.578 0.000
Ce 0.000 5.578 3.183
Ce 4.831 2.789 0.000
Ce 4.831 2.789 3.183
Ce 6.994 0.000 4.650
Ce 3.497 6.057 1.717
In -1.858 3.219 4.859
In -2.972 5.148 1.508
In 3.717 0.000 4.859
In 1.858 3.219 1.508
In 5.945 0.000 1.508
In 2.972 5.148 4.859
Bi 0.000 0.000 0.000
```

Computed properties:
The density of states at the Fermi level comes out at 50.8 states/eV/f.u. The formation energy comes out at -0.27 eV/atom. As for the space group: P-31m.

=====

# 4
The following is a DFT calculation (PBE) of a geometry-optimized KS structure.

Geometry as extended XYZ:
```
2
Lattice="0.000 3.627 3.627 3.627 0.000 3.627 3.627 3.627 0.000" Properties=species:S:1:pos:R:3 pbc="T T T"
K 0.000 0.000 0.000
S 1.814 1.814 1.814
```

Computed properties:
The density of states at the Fermi level comes out at 6.1 states/eV/f.u. As for the space group: F-43m. Its uncorrected formation energy is -0.411 eV per formula unit.

=====

# 5
The following is a DFT calculation (PBE) of a geometry-optimized CsLiRe3 structure.

Geometry as extended XYZ:
```
5
Lattice="4.963 0.000 0.000 0.000 4.963 0.000 0.000 0.000 4.963" Properties=species:S:1:pos:R:3 pbc="T T T"
Cs 0.000 0.000 0.000
Li 2.482 2.482 2.482
Re 0.000 0.000 2.482
Re 0.000 2.482 0.000
Re 2.482 0.000 0.000
```

Computed properties:
The density of states at the Fermi level comes out at 6.3 states/eV/f.u. The formation energy comes out at 3.88 eV/atom. As for the space group: Pm-3m. The value obtained for the energy above the most stable polymorph in this dataset is 1.1958 eV/atom.

=====

# 6
The following is a DFT calculation (PBE) of a geometry-optimized ZrTaNb3 structure.

Geometry as extended XYZ:
```
10
Lattice="2.367 -8.452 0.000 2.367 8.452 0.000 0.000 0.000 4.763" Properties=species:S:1:pos:R:3 pbc="T T T"
Zr 2.367 7.551 3.572
Zr 2.367 -7.551 1.191
Ta 2.367 4.227 3.572
Ta 2.367 -4.227 1.191
Nb 2.367 5.849 1.191
Nb 2.367 2.600 1.191
Nb 2.367 0.931 3.572
Nb 2.367 -0.931 1.191
Nb 2.367 -2.600 3.572
Nb 2.367 -5.849 3.572
```

Computed properties:
The density of states at the Fermi level comes out at 8.7 states/eV/f.u. The formation energy comes out at 0.04 eV/atom. As for the space group: Cmcm. The value obtained for the energy above the most stable polymorph in this dataset is 0.0000 eV/atom.

=====

# 7
The following is a DFT calculation (PBE) of a geometry-optimized AlH20C2S2NO14 structure.

Geometry as extended XYZ:
```
80
Lattice="6.502 0.000 0.000 0.000 10.549 0.000 -4.709 0.000 11.418" Properties=species:S:1:pos:R:3 pbc="T T T"
Al 0.000 2.630 0.000
Al -2.354 7.918 5.709
H -0.625 4.558 1.636
H -2.979 5.990 7.345
H -3.836 4.203 9.493
H -1.482 6.346 3.784
H -1.115 3.235 4.946
H -3.470 7.314 10.655
H -2.799 2.965 9.711
H -0.444 7.583 4.002
H 0.994 4.647 1.310
H -1.361 5.902 7.019
H 0.027 1.986 4.341
H -2.328 8.562 10.050
H 1.553 0.924 1.100
H -0.802 9.624 6.809
H 0.521 3.712 4.379
H -1.834 6.837 10.088
H -0.084 2.000 6.734
H 2.270 8.549 1.024
H 2.191 2.405 1.372
H -0.164 8.143 7.082
H 0.331 3.646 6.786
H 2.686 6.902 1.077
H -0.403 2.874 10.054
H 1.952 7.675 4.344
H 2.041 1.434 5.761
H 4.395 9.114 0.052
H 0.267 4.344 10.310
H 2.621 6.204 4.601
H 2.494 3.169 5.817
H 4.848 7.380 0.108
H 0.790 0.625 10.102
H 3.145 9.923 4.392
H 2.214 2.260 7.346
H 4.569 8.289 1.637
H 4.605 2.316 1.706
H 2.251 8.233 7.416
H 5.622 1.051 1.909
H 3.268 9.498 7.618
H 2.409 0.722 9.765
H 4.764 9.827 4.056
C -0.064 2.934 4.880
C -2.418 7.614 10.589
C 1.912 2.378 6.300
C 4.266 8.171 0.591
S -1.482 0.749 8.734
S 0.872 9.800 3.024
S 3.289 4.574 2.677
S 0.935 5.975 8.386
N 0.470 2.752 6.259
N 2.824 7.796 0.550
O 0.116 4.218 1.053
O -2.238 6.331 6.762
O -3.563 3.474 10.124
O -1.209 7.075 4.415
O -2.872 0.191 8.734
O -0.518 10.357 3.025
O 1.562 1.886 0.786
O -0.793 8.663 6.495
O -0.902 0.589 7.359
O 1.452 9.960 1.650
O -1.531 2.218 9.043
O 0.824 8.330 3.334
O 0.060 5.257 7.400
O 2.415 5.291 1.691
O -0.643 0.039 9.724
O 1.711 10.509 4.015
O 3.339 3.124 2.316
O 0.985 7.425 8.025
O 2.733 4.731 4.042
O 0.379 5.818 9.751
O 0.238 3.382 10.636
O 2.593 7.166 4.927
O 4.671 5.155 2.623
O 2.316 5.394 8.332
O 5.354 1.788 1.290
O 2.999 8.760 6.999
O 1.676 1.041 10.366
O 4.030 9.507 4.657
```

Computed properties:
The density of states at the Fermi level comes out at 0.0 states/eV/f.u. As for the space group: Pc. For the calculated total energy, the calculation gives -435.79 eV/cell.

=====

# 8
The following is a DFT calculation (PBE) of a geometry-optimized Y2RePbC structure.

Geometry as extended XYZ:
```
5
Lattice="5.029 0.000 0.000 0.000 5.029 0.000 0.000 0.000 4.060" Properties=species:S:1:pos:R:3 pbc="T T T"
Y 0.000 2.514 0.000
Y 2.514 0.000 0.000
Re 0.000 0.000 2.030
Pb 2.514 2.514 2.030
C 0.000 0.000 0.000
```

Computed properties:
The density of states at the Fermi level comes out at 4.0 states/eV/f.u. The formation energy comes out at -0.28 eV/atom. As for the space group: P4/mmm.